TaCuOF2, optimized geometry, DFT PBE; space-group type = P4/mmm (123); ΔE to the lowest computed polymorph = 0.000 eV per atom; total energy = -6.43 eV/atom
1.0
-1.3454 -3.2221 2.3488
-1.1813 -2.0456 -3.4827
3.5338 -1.6449 -0.2324
Ta O F Cu
1 1 2 1
direct
0.0000 0.0000 0.0000
0.0000 0.0000 0.5000
0.5000 0.0000 0.0000
0.0000 0.5000 0.0000
0.5000 0.5000 0.5000

---

CuTcO2F, optimized geometry, DFT PBE; space-group type = P4/mmm (123); total energy = -5.42 eV/atom
1.0
-3.0804 -1.1350 2.0391
1.9628 -3.0867 1.2470
1.2467 2.0042 2.9989
F Cu O Tc
1 1 2 1
direct
0.0000 0.0000 0.5000
0.0000 0.0000 0.0000
0.0000 0.5000 0.0000
0.5000 0.0000 0.0000
0.5000 0.5000 0.5000

---

CuTcO2F, optimized geometry, DFT PBE; space-group type = P4/mmm (123); total energy = -6.09 eV/atom
1.0
-3.6506 0.9327 0.4093
0.3003 -0.4697 3.7488
1.1226 4.2022 0.4366
Tc O Cu F
1 2 1 1
direct
0.0000 0.0000 0.0000
0.0000 0.5000 0.0000
0.5000 0.0000 0.0000
0.5000 0.5000 0.5000
0.0000 0.0000 0.5000

---

Number 1: formation energy without anion corrections -7.5 eV/f.u.. Number 2: formation energy without anion corrections -0.9 eV/f.u.. Number 3: formation energy without anion corrections -4.2 eV/f.u..